[1]
Computed, not measured: Sc2TlCu3Se5 after structural relaxation at the PBEsol level of DFT.

Output
- Calculated total energy: -116.02 eV/cell
- E_form (uncorrected): -0.901 eV/atom
- Space group: Cmcm, No. 63

Structure (extended XYZ):
```
22
Lattice="3.921 0.000 0.000 -1.961 6.977 0.000 0.000 0.000 16.054" Properties=species:S:1:pos:R:3 pbc="T T T"
Cu 1.961 5.768 7.557
Cu 1.961 5.768 0.471
Cu 0.000 1.209 15.584
Cu 1.961 4.800 12.041
Cu 0.000 1.209 8.498
Cu 0.000 2.177 4.014
Se 1.961 3.535 4.014
Se 0.000 4.581 6.848
Se 0.000 0.823 1.919
Se 0.000 0.823 6.108
Se 0.000 3.442 12.041
Se 1.961 6.154 9.946
Se 0.000 4.581 1.179
Se 1.961 6.154 14.135
Se 1.961 2.396 9.206
Se 1.961 2.396 14.875
Sc 1.961 2.661 6.537
Sc 0.000 4.316 14.564
Sc 1.961 2.661 1.490
Sc 0.000 4.316 9.517
Tl 1.961 0.876 12.041
Tl 0.000 6.101 4.014
```

---

[2]
Computed, not measured: Hg2AsW after structural relaxation at the PBEsol level of DFT.

Output
- Calculated total energy: -17.09 eV/cell
- Space group: C2/m, No. 12
- Calculated formation energy: 0.739 eV per atom

Structure (extended XYZ):
```
4
Lattice="-0.400 2.699 1.092 -2.358 -3.007 3.415 5.734 -0.267 0.383" Properties=species:S:1:pos:R:3 pbc="T T T"
As -1.179 -1.503 1.708
Hg 2.867 -0.133 0.191
Hg 1.488 -0.287 2.445
W -0.200 1.349 0.546
```

---

> calculated total energy of number 2 (Hg2AsW)?

-17.09 eV/cell